Record 1
6
Lattice="-0.235 2.998 1.209 -3.698 -2.000 -0.101 0.619 -1.986 9.030" Properties=species:S:1:pos:R:3 comment="BeTePt | Alexandria via LeMat-Bulk | PBE-GGA | relaxed" final_energy_ev_per_cell=-28.41 sg="P1 (1)" pbc="T T T"
Te -1.329 0.065 9.230
Te -2.992 -0.991 2.825
Be -3.281 -0.473 5.818
Be -1.433 -2.006 5.638
Pt 0.274 -0.608 6.847
Pt -1.280 0.133 4.710

Record 2
4
Lattice="-2.658 0.681 -1.656 -0.414 -3.118 -0.617 -4.073 -0.696 6.249" Properties=species:S:1:pos:R:3 comment="Zr2TaRu | Alexandria via LeMat-Bulk | PBE-GGA | relaxed" de_polymorph_mev_per_atom=16 final_energy_ev_per_cell=-39.15 sg="P4mm (99)" ef_mev_per_atom=-231 pbc="T T T"
Ta -4.455 -1.717 3.342
Zr -2.680 -1.414 0.618
Zr -4.013 -0.686 6.157
Ru -2.107 -0.360 3.233

Record 3
14
Lattice="-3.452 5.425 -2.046 -2.771 -3.635 -4.964 -5.093 -1.699 4.088" Properties=species:S:1:pos:R:3 comment="PrGe3Os3 | Alexandria via LeMat-Bulk | PBE-GGA | relaxed" final_energy_ev_per_cell=-99.39 sg="Pm-3n (223)" ef_mev_per_atom=375 pbc="T T T"
Pr 0.000 0.000 0.000
Pr -5.658 0.045 -1.461
Ge -2.999 2.288 -0.001
Ge -4.625 -3.576 -1.679
Ge -3.239 -1.758 0.803
Ge -3.975 2.251 -4.016
Ge -5.546 1.438 2.043
Ge -2.249 -0.461 -2.993
Os -2.659 -2.243 -1.460
Os -3.804 -0.014 -4.746
Os -3.410 0.507 1.532
Os -5.136 3.219 0.509
Os -2.419 1.804 -2.264
Os -5.205 -3.092 0.584

Record 4
12
Lattice="-0.372 -3.223 -3.642 -0.028 -1.537 4.629 -6.237 0.555 0.146" Properties=species:S:1:pos:R:3 comment="CdBP2O8 | Alexandria via LeMat-Bulk | PBE-GGA | relaxed" final_energy_ev_per_cell=-76.35 sg="P-3m1 (164)" pbc="T T T"
O -1.142 -1.175 -0.397
O -5.300 -1.340 3.440
O -3.378 -1.811 1.948
O -5.285 -0.534 1.012
O -1.337 -2.865 -2.307
O -1.352 -3.671 0.121
O -3.259 -2.394 -0.815
O -5.495 -3.030 1.530
P -1.732 -2.530 -0.851
P -4.905 -1.675 1.983
B 0.000 0.000 0.000
Cd -3.118 0.277 0.073

Record 5
12
Lattice="4.095 0.000 0.000 0.000 8.390 -0.025 0.000 -2.257 9.298" Properties=species:S:1:pos:R:3 comment="Pm3PdSeCl | Alexandria via LeMat-Bulk | PBE-GGA | relaxed" final_energy_ev_per_cell=-63.58 sg="P2_1/m (11)" pbc="T T T"
Pm 3.071 7.311 0.992
Pm 3.071 3.213 1.510
Pm 1.024 2.919 7.763
Pm 3.071 1.214 4.701
Pm 1.024 4.919 4.572
Pm 1.024 -1.179 8.282
Cl 3.071 6.655 3.661
Cl 1.024 -0.523 5.612
Pd 3.071 0.898 7.896
Pd 1.024 5.234 1.378
Se 3.071 5.114 7.059
Se 1.024 1.018 2.215

Record 6
16
Lattice="-0.450 1.860 -6.199 -7.099 -6.228 -1.354 -1.940 8.907 2.813" Properties=species:S:1:pos:R:3 comment="Ce2Nd3Bi3 | Alexandria via LeMat-Bulk | PBE-GGA | relaxed" final_energy_ev_per_cell=-87.14 sg="P6_3/mcm (193)" ef_mev_per_atom=-719 pbc="T T T"
Ce -3.885 4.792 -1.675
Ce -5.604 -0.253 -3.064
Ce -5.379 -1.183 0.035
Ce -3.660 3.862 1.424
Nd -2.118 -0.167 -4.989
Nd -1.566 7.138 0.558
Nd -5.431 -4.201 -2.564
Nd -2.380 1.137 -1.184
Nd -7.109 3.402 -3.556
Nd -0.824 3.629 -3.944
Bi -4.696 -2.429 -5.481
Bi -1.529 6.864 -2.922
Bi -3.826 2.429 -4.086
Bi -0.861 3.903 -0.464
Bi -5.663 2.110 -0.653
Bi -2.852 -1.939 -2.072

Record 7
9
Lattice="-4.702 -1.778 1.646 -0.820 -2.044 -4.551 2.286 -2.702 3.610" Properties=species:S:1:pos:R:3 comment="AcTiSiO6 | Alexandria via LeMat-Bulk | PBE-GGA | relaxed" final_energy_ev_per_cell=-72.37 sg="P312 (149)" pbc="T T T"
O -3.445 -3.929 -2.253
O -2.292 -4.599 0.316
O -0.637 -4.372 -1.376
O -3.436 -1.976 -0.117
O -1.067 -1.900 0.067
O -1.938 -2.141 -2.682
Ti -2.136 -3.153 -1.007
Si -2.351 -0.889 0.823
Ac 1.251 -2.483 0.890

Record 8
9
Lattice="-3.201 -0.312 -2.196 -0.291 -0.033 3.883 -1.567 15.946 0.015" Properties=species:S:1:pos:R:3 comment="Sm2Ho3S4 | Alexandria via LeMat-Bulk | PBE-GGA | relaxed" final_energy_ev_per_cell=-55.51 sg="P-3m1 (164)" pbc="T T T"
Sm -1.585 3.173 1.862
Sm -3.475 12.429 -0.159
Ho -2.873 6.323 -0.162
Ho -2.186 9.279 1.864
Ho 0.000 0.000 0.000
S -2.675 14.259 1.869
S -2.384 1.342 -0.167
S -1.370 10.934 3.892
S -3.690 4.668 -2.190

Record 9
10
Lattice="-5.813 5.338 -2.079 -5.309 -6.133 -0.902 -0.776 0.256 2.826" Properties=species:S:1:pos:R:3 comment="RbMg2Ni2 | Alexandria via LeMat-Bulk | PBE-GGA | relaxed" final_energy_ev_per_cell=-28.66 sg="P4/mbm (127)" ef_mev_per_atom=278 pbc="T T T"
Mg -8.670 -1.820 -0.684
Mg -3.228 1.282 0.529
Mg -4.512 -3.043 0.568
Mg -7.386 2.505 -0.723
Rb -5.561 -0.397 -1.491
Rb 0.000 0.000 0.000
Ni -6.565 -3.346 -1.499
Ni -8.393 0.570 -2.355
Ni -2.729 -1.364 -0.626
Ni -4.557 2.551 -1.482

Record 10
6
Lattice="-0.681 -4.136 -3.408 3.472 -0.745 -4.072 3.426 -4.176 0.101" Properties=species:S:1:pos:R:3 comment="DyTmRe4 | Alexandria via LeMat-Bulk | PBE-GGA | relaxed" final_energy_ev_per_cell=-60.12 sg="F-43m (216)" ef_mev_per_atom=-209 pbc="T T T"
Tm 1.554 -2.264 -1.845
Re 2.173 -3.573 -4.662
Re 4.226 -3.593 -2.908
Re 3.885 -5.660 -4.612
Re 2.150 -5.288 -2.576
Dy 0.000 0.000 0.000

Record 11
8
Lattice="-4.210 4.275 -6.817 1.402 -7.186 -5.372 -3.483 -2.385 -5.394" Properties=species:S:1:pos:R:3 comment="AlPCl2 | Alexandria via LeMat-Bulk | PBE-GGA | relaxed" de_polymorph_mev_per_atom=436 final_energy_ev_per_cell=-27.36 sg="I-42d (122)" pbc="T T T"
P -4.549 0.217 -9.153
P 0.000 0.000 0.000
Cl -2.678 0.518 -5.230
Cl -3.449 -3.988 -9.444
Cl -5.285 -3.229 -13.883
Cl -1.169 -3.895 -6.609
Al -1.742 -5.514 -8.430
Al -1.404 -1.456 -6.095

Record 12
8
Lattice="3.401 0.000 -0.823 -1.207 10.557 -4.987 0.262 -2.468 8.519" Properties=species:S:1:pos:R:3 comment="La3Ho4Sc | Alexandria via LeMat-Bulk | PBE-GGA | relaxed" de_polymorph_mev_per_atom=95 final_energy_ev_per_cell=-38.31 sg="Immm (71)" ef_mev_per_atom=140 pbc="T T T"
La 1.802 6.738 0.010
La -0.604 5.278 -2.494
La 0.653 1.351 2.699
Ho 0.685 4.782 2.831
Ho 1.770 3.307 -0.123
Ho 1.308 -0.665 5.403
Ho 1.148 8.754 -2.695
Sc 1.700 0.000 -0.412

Record 13
10
Lattice="-2.424 -3.035 -3.208 3.871 2.465 -5.256 2.747 -6.527 8.055" Properties=species:S:1:pos:R:3 comment="Pm5TmGe4 | Alexandria via LeMat-Bulk | PBE-GGA | relaxed" final_energy_ev_per_cell=-52.90 sg="C2/m (12)" ef_mev_per_atom=-621 pbc="T T T"
Ge 3.165 -7.593 0.838
Ge -0.269 -4.093 0.120
Ge 4.463 -3.004 -0.530
Ge 1.029 0.496 -1.247
Pm 0.468 -6.503 1.843
Pm 2.430 -5.236 -0.837
Pm 3.725 -0.594 -2.253
Pm 0.724 -0.285 -4.232
Pm 1.764 -1.860 0.428
Tm -1.212 -1.518 -1.604

Record 14
12
Lattice="-0.150 -2.488 4.387 -1.134 -4.917 0.075 9.148 -4.690 0.555" Properties=species:S:1:pos:R:3 comment="RbNpAl2F8 | Alexandria via LeMat-Bulk | PBE-GGA | relaxed" final_energy_ev_per_cell=-71.72 sg="R-3 (148)" pbc="T T T"
Np 0.000 0.000 0.000
F 4.325 -8.706 3.916
F 1.510 -3.647 2.816
F 6.830 -5.772 0.705
F 6.355 -8.449 2.201
F 3.540 -3.389 1.101
F 0.762 -6.203 1.223
F 7.103 -5.892 3.794
F 1.034 -6.324 4.313
Rb 3.932 -6.048 2.509
Al 5.996 -9.094 3.754
Al 1.868 -3.001 1.264

Record 15
12
Lattice="5.936 -1.297 0.000 -2.740 6.461 0.000 0.000 0.000 10.483" Properties=species:S:1:pos:R:3 comment="DyEr5 | Alexandria via LeMat-Bulk | PBE-GGA | relaxed" final_energy_ev_per_cell=-54.56 sg="C2/m (12)" ef_mev_per_atom=23 pbc="T T T"
Dy 3.082 2.257 2.621
Dy 0.114 2.907 7.862
Er 1.484 -0.324 7.862
Er 4.452 -0.972 9.610
Er 3.082 2.258 9.611
Er -1.256 6.137 4.369
Er 4.452 -0.972 6.114
Er 1.712 5.488 2.621
Er 3.082 2.258 6.114
Er -1.256 6.137 0.873
Er 0.114 2.906 4.369
Er 0.114 2.906 0.872

Record 16
8
Lattice="4.127 0.000 0.000 2.064 6.621 -0.320 2.064 1.687 6.411" Properties=species:S:1:pos:R:3 comment="CaMg5Pd2 | Alexandria via LeMat-Bulk | PBE-GGA | relaxed" final_energy_ev_per_cell=-23.78 sg="Immm (71)" ef_mev_per_atom=-428 pbc="T T T"
Pd 2.064 1.995 1.463
Pd 6.191 6.313 4.628
Mg 2.064 4.154 3.045
Mg 4.127 4.563 5.279
Mg 4.127 6.407 2.763
Mg 4.127 3.745 0.811
Mg 4.127 1.901 3.327
Ca 0.000 0.000 0.000

Record 17
6
Lattice="3.592 0.000 0.000 0.000 3.592 0.000 0.000 0.000 15.180" Properties=species:S:1:pos:R:3 comment="NdTh5 | Alexandria via LeMat-Bulk | PBE-GGA | relaxed" de_polymorph_mev_per_atom=0 final_energy_ev_per_cell=-41.67 sg="P4/mmm (123)" ef_mev_per_atom=33 pbc="T T T"
Th 1.796 1.796 2.493
Th 0.000 0.000 0.000
Th 1.796 1.796 12.686
Th 0.000 0.000 4.964
Th 0.000 0.000 10.216
Nd 1.796 1.796 7.590